CrAgIrO6 | PBE+U | relaxed

The structure in POSCAR format:
```
CrAgIrO6
1.0
5.171 0.000 0.000
-2.585 4.478 0.000
0.000 0.000 9.301
Ag Cr O Ir
2 2 12 2
Cartesian
0.000 0.000 0.000 Ag
0.000 0.000 4.651 Ag
0.000 2.985 2.325 Cr
2.585 1.493 6.976 Cr
1.920 0.032 1.264 O
-0.665 4.446 5.914 O
3.251 0.032 3.387 O
0.933 1.679 8.038 O
-0.933 1.679 5.914 O
1.598 2.831 5.914 O
1.653 2.799 1.264 O
-1.598 2.831 8.038 O
0.988 1.647 3.387 O
3.518 2.799 3.387 O
4.183 1.647 1.264 O
0.665 4.446 8.038 O
2.585 1.493 2.325 Ir
0.000 2.985 6.976 Ir
```

## Properties
Final energy: -6.209 eV per atom
Space-group type: P-31c, No. 163
Magnetic moment: 3.4 μB/cell